# Sr3SnRh3

A geometry-optimized Sr3SnRh3 structure (PBE, Alexandria via LeMat-Bulk).

abc: 6.059 6.059 14.198
angles: 90.00 90.00 136.97
Sites, in units of the cell vectors:
Sr: 0.002 0.998 0.750
Sr: 0.284 0.716 0.609
Sr: 0.284 0.716 0.891
Sr: 0.716 0.284 0.109
Sr: 0.716 0.284 0.391
Sr: 0.998 0.002 0.250
Sn: 0.000 0.000 0.000
Sn: 0.000 0.000 0.500
Rh: 0.306 0.694 0.250
Rh: 0.429 0.571 0.090
Rh: 0.429 0.571 0.410
Rh: 0.571 0.429 0.590
Rh: 0.571 0.429 0.910
Rh: 0.694 0.306 0.750

Output
* ρ: 6.44 g cm⁻³
* magnetization: 0.0 μB per cell
* space-group type: Cmcm

***

# BeCu2Au

A geometry-optimized BeCu2Au structure (PBE, Alexandria via LeMat-Bulk).

abc: 4.845 4.845 4.051
angles: 114.52 114.52 35.57
Sites, in units of the cell vectors:
Be: 0.000 0.000 0.000
Cu: 0.277 0.277 0.777
Cu: 0.723 0.723 0.223
Au: 0.500 0.500 0.500

Output
* ρ: 11.11 g cm⁻³
* magnetization: 0.0 μB per cell
* space-group type: C2/m

***

In the order shown, the computed energy relative to the elements values come out to -454 -63 meV/atom.